Na2LaNiH8 | GGA-PBE | optimized geometry

* calculated total energy: -3.60 eV/atom
* Fermi-level density of states: 0.264 states/eV/atom

Geometry as POSCAR:
```
Na2LaNiH8
1.0
4.680 0.000 0.000
-2.340 4.053 0.000
0.000 0.000 6.441
Na La Ni H
2 1 1 8
Direct
0.333 0.667 0.368
0.667 0.333 0.632
0.000 0.000 0.000
0.000 0.000 0.500
0.150 0.299 0.652
0.150 0.850 0.652
0.299 0.150 0.348
0.333 0.667 0.027
0.667 0.333 0.973
0.701 0.850 0.652
0.850 0.150 0.348
0.850 0.701 0.348
```

---

ScMnGeSe2 | GGA-PBE | optimized geometry

* E_form (uncorrected): 26.1 kJ/mol of atoms
* calculated total energy: -5.15 eV/atom
* Fermi-level density of states: 0.453 states/eV/atom

Geometry as POSCAR:
```
ScMnGeSe2
1.0
5.073 0.000 0.000
0.000 5.073 0.000
0.000 0.000 5.124
Sc Mn Ge Se
1 1 1 2
Direct
0.000 0.000 0.000
0.000 0.000 0.500
0.500 0.500 0.500
0.000 0.500 0.000
0.500 0.000 0.000
```

---

Tb2SmScSe4 | GGA-PBE | optimized geometry

* E_form (uncorrected): -165.8 kJ/mol of atoms
* calculated total energy: -6.00 eV/atom
* Fermi-level density of states: 0.628 states/eV/atom

Geometry as POSCAR:
```
Tb2SmScSe4
1.0
7.033 0.000 0.000
0.000 4.026 0.000
-2.311 0.000 6.724
Tb Sm Sc Se
2 1 1 4
Direct
0.000 0.000 0.000
0.000 0.500 0.500
0.500 0.000 0.500
0.500 0.500 0.000
0.251 0.500 0.240
0.259 0.000 0.763
0.741 0.000 0.237
0.749 0.500 0.760
```

---

H2Au2Br5 | GGA-PBE | optimized geometry

* calculated total energy: -2.48 eV/atom
* Fermi-level density of states: 0.187 states/eV/atom

Geometry as POSCAR:
```
H2Au2Br5
1.0
-7.942 7.979 2.799
7.942 -7.979 2.799
7.942 7.979 -2.799
H Au Br
4 4 10
Direct
0.098 0.022 0.119
0.098 0.478 0.576
0.902 0.522 0.424
0.902 0.978 0.881
0.292 0.292 0.000
0.292 0.792 0.500
0.447 0.234 0.713
0.521 0.734 0.287
0.212 0.413 0.081
0.212 0.631 0.299
0.332 0.131 0.919
0.332 0.913 0.701
0.603 0.505 0.598
0.653 0.338 0.359
0.653 0.794 0.815
0.907 0.005 0.402
0.980 0.294 0.641
0.980 0.838 0.185
```

---

BaSc2Te | GGA-PBE | optimized geometry

* E_form (uncorrected): -31.7 kJ/mol of atoms
* calculated total energy: -4.76 eV/atom
* Fermi-level density of states: 1.202 states/eV/atom

Geometry as POSCAR:
```
BaSc2Te
1.0
9.988 0.000 0.000
0.000 3.865 0.000
-1.460 0.000 6.895
Ba Sc Te
2 4 2
Direct
0.000 0.000 0.000
0.500 0.500 0.000
0.212 0.000 0.636
0.472 0.000 0.476
0.712 0.500 0.636
0.972 0.500 0.476
0.246 0.500 0.329
0.746 0.000 0.329
```

---

NbAl2ReI | GGA-PBE | optimized geometry

* E_form (uncorrected): 58.1 kJ/mol of atoms
* calculated total energy: -5.71 eV/atom
* Fermi-level density of states: 0.828 states/eV/atom

Geometry as POSCAR:
```
NbAl2ReI
1.0
4.897 0.000 0.000
0.000 4.897 0.000
0.000 0.000 4.976
Nb Al Re I
1 2 1 1
Direct
0.000 0.000 0.000
0.000 0.500 0.500
0.500 0.000 0.500
0.000 0.000 0.500
0.500 0.500 0.000
```